Computed, not measured: a relaxed structure of PrCo12B6 at the GGA-PBE level of DFT.

## Properties
Total magnetic moment, μB/cell: 6.84
Symmetry: R-3m, No. 166
E, eV for the cell shown: -136.6

Cell: 5.986 5.986 5.986 Å, 103.99 103.99 103.99°
Positions (direct):
Pr  0.000  0.000  0.000
Co  0.133  0.500  0.867
Co  0.133  0.867  0.500
Co  0.188  0.459  0.459
Co  0.459  0.188  0.459
Co  0.459  0.459  0.188
Co  0.500  0.133  0.867
Co  0.500  0.867  0.133
Co  0.541  0.541  0.812
Co  0.541  0.812  0.541
Co  0.812  0.541  0.541
Co  0.867  0.133  0.500
Co  0.867  0.500  0.133
B  0.231  0.231  0.672
B  0.231  0.672  0.231
B  0.328  0.769  0.769
B  0.672  0.231  0.231
B  0.769  0.328  0.769
B  0.769  0.769  0.328

---

Computed, not measured: a relaxed structure of InFeIrPd at the GGA-PBE level of DFT.

## Properties
Total magnetic moment, μB/cell: 3.13
Symmetry: F-43m, No. 216
E, eV for the cell shown: -24.8

Cell: 4.450 4.450 4.450 Å, 60.00 60.00 60.00°
Positions (direct):
In  0.000  0.000  0.000
Fe  0.250  0.250  0.250
Ir  0.500  0.500  0.500
Pd  0.750  0.750  0.750

---

Computed, not measured: a relaxed structure of TbInHg3Se4 at the GGA-PBE level of DFT.

## Properties
Total magnetic moment, μB/cell: 0.00
Symmetry: P-43m, No. 215
E, eV for the cell shown: -26.3

Cell: 6.879 6.879 6.879 Å, 90.00 90.00 90.00°
Positions (direct):
Tb  0.000  0.000  0.000
In  0.500  0.500  0.500
Hg  0.000  0.000  0.500
Hg  0.000  0.500  0.000
Hg  0.500  0.000  0.000
Se  0.229  0.229  0.771
Se  0.229  0.771  0.229
Se  0.771  0.229  0.229
Se  0.771  0.771  0.771

---

Computed, not measured: a relaxed structure of SrErAs at the GGA-PBE level of DFT.

## Properties
Total magnetic moment, μB/cell: 0.02
Symmetry: F-43m, No. 216
E, eV for the cell shown: -12.7

Cell: 4.996 4.996 4.996 Å, 60.00 60.00 60.00°
Positions (direct):
Sr  0.000  0.000  0.000
Er  0.500  0.500  0.500
As  0.750  0.750  0.750

---

Computed, not measured: a relaxed structure of NdBeNO at the GGA-PBE level of DFT.

## Properties
Total magnetic moment, μB/cell: 0.01
Symmetry: Pca2_1, No. 29
E, eV for the cell shown: -118.8

Cell: 5.202 7.084 4.962 Å, 90.00 90.00 90.00°
Positions (direct):
Nd  0.018  0.179  0.000
Nd  0.482  0.179  0.500
Nd  0.518  0.821  0.000
Nd  0.982  0.821  0.500
Be  0.076  0.592  0.995
Be  0.424  0.592  0.495
Be  0.576  0.408  0.995
Be  0.924  0.408  0.495
N  0.024  0.837  0.997
N  0.476  0.837  0.497
N  0.524  0.163  0.997
N  0.976  0.163  0.497
O  0.148  0.520  0.320
O  0.352  0.520  0.820
O  0.648  0.480  0.320
O  0.852  0.480  0.820

---

Computed, not measured: a relaxed structure of RbCuW at the GGA-PBE level of DFT.

## Properties
Total magnetic moment, μB/cell: 4.06
Symmetry: F-43m, No. 216
E, eV for the cell shown: -10.9

Cell: 4.942 4.942 4.942 Å, 60.00 60.00 60.00°
Positions (direct):
Rb  0.000  0.000  0.000
Cu  0.250  0.250  0.250
W  0.500  0.500  0.500

---

Computed, not measured: a relaxed structure of GdUIr at the GGA-PBE level of DFT.

## Properties
Total magnetic moment, μB/cell: 3.35
Symmetry: F-43m, No. 216
E, eV for the cell shown: -25.2
Formation energy, eV per atom: -0.12

Cell: 4.757 4.757 4.757 Å, 60.00 60.00 60.00°
Positions (direct):
Gd  0.000  0.000  0.000
U  0.500  0.500  0.500
Ir  0.250  0.250  0.250

---

Computed, not measured: a relaxed structure of TbIr at the GGA-PBE level of DFT.

## Properties
Total magnetic moment, μB/cell: 0.00
Symmetry: P-6m2, No. 187
E, eV for the cell shown: -14.2
Formation energy, eV per atom: -0.37

Cell: 3.771 3.771 3.601 Å, 90.00 90.00 120.00°
Positions (direct):
Tb  0.000  0.000  0.000
Ir  0.333  0.667  0.500

---

Computed, not measured: a relaxed structure of InPt3Se5 at the GGA-PBE level of DFT.

## Properties
Total magnetic moment, μB/cell: 0.01
Symmetry: P6/mmm, No. 191
E, eV for the cell shown: -39.1

Cell: 6.205 6.205 6.816 Å, 90.00 90.00 120.00°
Positions (direct):
In  0.000  0.000  0.000
Pt  0.000  0.500  0.500
Pt  0.500  0.000  0.500
Pt  0.500  0.500  0.500
Se  0.000  0.000  0.500
Se  0.333  0.667  0.246
Se  0.333  0.667  0.754
Se  0.667  0.333  0.246
Se  0.667  0.333  0.754

---

Computed, not measured: a relaxed structure of Sr2H6PtPb at the GGA-PBE level of DFT.

## Properties
Total magnetic moment, μB/cell: 0.00
Symmetry: Fm-3m, No. 225
E, eV for the cell shown: -36.3

Cell: 5.860 5.860 5.860 Å, 60.00 60.00 60.00°
Positions (direct):
Sr  0.250  0.250  0.250
Sr  0.750  0.750  0.750
H  0.207  0.207  0.793
H  0.207  0.793  0.207
H  0.207  0.793  0.793
H  0.793  0.207  0.207
H  0.793  0.207  0.793
H  0.793  0.793  0.207
Pt  0.000  0.000  0.000
Pb  0.500  0.500  0.500

---

Computed, not measured: a relaxed structure of Al5Re7 at the GGA-PBE level of DFT.

## Properties
Total magnetic moment, μB/cell: 0.04
Symmetry: P6_3/mmc, No. 194
E, eV for the cell shown: -205.2

Cell: 5.063 5.063 16.298 Å, 90.00 90.00 120.00°
Positions (direct):
Al  0.163  0.325  0.250
Al  0.163  0.837  0.250
Al  0.325  0.163  0.750
Al  0.333  0.667  0.127
Al  0.333  0.667  0.373
Al  0.667  0.333  0.627
Al  0.667  0.333  0.873
Al  0.675  0.837  0.250
Al  0.837  0.163  0.750
Al  0.837  0.675  0.750
Re  0.000  0.000  0.079
Re  0.000  0.000  0.421
Re  0.000  0.000  0.579
Re  0.000  0.000  0.921
Re  0.000  0.500  0.000
Re  0.000  0.500  0.500
Re  0.333  0.667  0.656
Re  0.333  0.667  0.844
Re  0.500  0.000  0.000
Re  0.500  0.000  0.500
Re  0.500  0.500  0.000
Re  0.500  0.500  0.500
Re  0.667  0.333  0.156
Re  0.667  0.333  0.344

---

Computed, not measured: a relaxed structure of CdTeW2 at the GGA-PBE level of DFT.

## Properties
Total magnetic moment, μB/cell: 0.03
Symmetry: F-43m, No. 216
E, eV for the cell shown: -26.2

Cell: 4.750 4.750 4.750 Å, 60.00 60.00 60.00°
Positions (direct):
Cd  0.000  0.000  0.000
Te  0.750  0.750  0.750
W  0.250  0.250  0.250
W  0.500  0.500  0.500

---

Question: Look up the total magnetic moment of the tenth one.
Answer: 0.00 μB/cell

---

Question: Which formula does entry 10 have?
Answer: Sr2H6PtPb

---

Question: The lowest E belongs to which entry?
Answer: Al5Re7